[1]
# Zr3Si5Au

A relaxed Zr3Si5Au crystal (PBE, the Open Quantum Materials Database).

Cell lengths 5.797, 5.797, 6.678 Å; angles 90.00, 90.00, 120.00 degrees
Element x y z (fractional)
1 Si 0.000 0.000 0.500
2 Si 0.333 0.667 0.169
3 Si 0.667 0.333 0.169
4 Si 0.667 0.333 0.831
5 Si 0.333 0.667 0.831
6 Zr 0.000 0.500 0.500
7 Zr 0.500 0.500 0.500
8 Zr 0.500 0.000 0.500
9 Au 0.000 0.000 0.000

Results
Symmetry ... P6/mmm (191)
Electronic total energy ... -5.9437 eV per atom
Total moment ... 0.00 μB/atom

[2]
# DyYCd4

A relaxed DyYCd4 crystal (PBE, the Open Quantum Materials Database).

Cell lengths 3.407, 4.948, 8.570 Å; angles 90.00, 90.02, 90.00 degrees
Element x y z (fractional)
1 Cd 0.506 0.500 0.834
2 Cd 0.495 0.000 0.667
3 Cd 0.494 0.500 0.166
4 Cd 0.505 0.000 0.333
5 Y 0.000 0.500 0.500
6 Dy 0.000 0.000 0.000

Results
Symmetry ... P2/m (10)
Formation energy ... -0.336 eV per atom
Total moment ... 0.00 μB/atom

[3]
# TaP4S5Cl5

A relaxed TaP4S5Cl5 crystal (PBE, the Open Quantum Materials Database).

Cell lengths 6.928, 13.336, 17.933 Å; angles 90.00, 103.65, 90.00 degrees
Element x y z (fractional)
1 P 0.270 0.675 0.243
2 P 0.730 0.175 0.257
3 P 0.194 0.861 0.612
4 P 0.099 0.003 0.308
5 P 0.806 0.139 0.388
6 P 0.806 0.361 0.888
7 P 0.270 0.825 0.743
8 P 0.418 0.440 0.206
9 P 0.901 0.503 0.192
10 P 0.730 0.325 0.757
11 P 0.099 0.497 0.808
12 P 0.194 0.639 0.112
13 P 0.582 0.940 0.294
14 P 0.582 0.560 0.794
15 P 0.418 0.060 0.706
16 P 0.901 0.997 0.692
17 Cl 0.543 0.700 0.611
18 Cl 0.457 0.200 0.889
19 Cl 0.457 0.300 0.389
20 Cl 0.099 0.273 0.536
21 Cl 0.734 0.046 0.033
22 Cl 0.663 0.197 0.555
23 Cl 0.337 0.803 0.445
24 Cl 0.543 0.800 0.111
25 Cl 0.893 0.379 0.373
26 Cl 0.901 0.727 0.464
27 Cl 0.107 0.879 0.127
28 Cl 0.663 0.303 0.055
29 Cl 0.107 0.621 0.627
30 Cl 0.337 0.697 0.945
31 Cl 0.099 0.227 0.036
32 Cl 0.266 0.546 0.467
33 Cl 0.266 0.954 0.967
34 Cl 0.901 0.773 0.964
35 Cl 0.734 0.454 0.533
36 Cl 0.893 0.121 0.873
37 S 0.510 0.436 0.718
38 S 0.904 0.919 0.589
39 S 0.904 0.581 0.089
40 S 0.096 0.419 0.911
41 S 0.490 0.564 0.282
42 S 0.995 0.123 0.231
43 S 0.005 0.623 0.269
44 S 0.490 0.936 0.782
45 S 0.127 0.391 0.208
46 S 0.873 0.891 0.292
47 S 0.611 0.477 0.899
48 S 0.873 0.609 0.792
49 S 0.127 0.109 0.708
50 S 0.389 0.977 0.601
51 S 0.510 0.064 0.218
52 S 0.611 0.023 0.399
53 S 0.995 0.377 0.731
54 S 0.005 0.877 0.769
55 S 0.389 0.523 0.101
56 S 0.096 0.081 0.411
57 Ta 0.773 0.309 0.473
58 Ta 0.227 0.691 0.527
59 Ta 0.227 0.809 0.027
60 Ta 0.773 0.191 0.973

Results
Symmetry ... P2_1/c (14)
Electronic total energy ... -4.8538 eV per atom
Total moment ... 0.00 μB/atom

[4]
# Nb4SbC2S

A relaxed Nb4SbC2S crystal (PBE, the Open Quantum Materials Database).

Cell lengths 3.341, 3.341, 12.413 Å; angles 90.00, 90.00, 120.00 degrees
Element x y z (fractional)
1 Nb 0.000 0.000 0.358
2 Nb 0.667 0.333 0.822
3 Nb 0.000 0.000 0.642
4 Nb 0.667 0.333 0.178
5 C 0.333 0.667 0.735
6 C 0.333 0.667 0.265
7 Sb 0.000 0.000 0.000
8 S 0.667 0.333 0.500

Results
Symmetry ... P-6m2 (187)
Electronic total energy ... -8.9681 eV per atom
Total moment ... 0.00 μB/atom

[5]
# TmU3Ir

A relaxed TmU3Ir crystal (PBE, the Open Quantum Materials Database).

Cell lengths 5.355, 5.355, 5.355 Å; angles 90.00, 90.00, 90.00 degrees
Each line ends with the local moment (μB).
Element x y z (fractional)
1 Ir 0.000 0.000 0.000  -0.11
2 U 0.500 0.000 0.000  2.48
3 U 0.000 0.500 0.000  2.64
4 U 0.000 0.000 0.500  2.74
5 Tm 0.500 0.500 0.500  0.51

Results
Symmetry ... Pm-3m (221)
Formation energy ... 0.644 eV per atom
Total moment ... 2.00 μB/atom

[6]
# HoErPbN

A relaxed HoErPbN crystal (PBE, the Open Quantum Materials Database).

Cell lengths 3.521, 3.521, 15.472 Å; angles 90.00, 90.00, 120.00 degrees
Element x y z (fractional)
1 N 0.000 0.000 0.000
2 N 0.000 0.000 0.500
3 Ho 0.333 0.667 0.417
4 Ho 0.667 0.333 0.583
5 Pb 0.333 0.667 0.751
6 Pb 0.667 0.333 0.249
7 Er 0.667 0.333 0.917
8 Er 0.333 0.667 0.083

Results
Symmetry ... P-3m1 (164)
Electronic total energy ... -6.4039 eV per atom
Total moment ... 0.00 μB/atom

[7]
# MgBeSiPd

A relaxed MgBeSiPd crystal (PBE, the Open Quantum Materials Database).

Cell lengths 4.260, 4.260, 4.260 Å; angles 60.00, 60.00, 60.00 degrees
Element x y z (fractional)
1 Si 0.250 0.250 0.250
2 Be 0.000 0.000 0.000
3 Mg 0.750 0.750 0.750
4 Pd 0.500 0.500 0.500

Results
Symmetry ... F-43m (216)
Electronic total energy ... -4.0739 eV per atom

[8]
# DyHoAu

A relaxed DyHoAu crystal (PBE, the Open Quantum Materials Database).

Cell lengths 4.837, 4.837, 4.837 Å; angles 60.00, 60.00, 60.00 degrees
Element x y z (fractional)
1 Dy 0.000 0.000 0.000
2 Au 0.250 0.250 0.250
3 Ho 0.750 0.750 0.750

Results
Symmetry ... F-43m (216)
Formation energy ... 0.163 eV per atom
Total moment ... 0.00 μB/atom